Entry 1:
4
Lattice="5.1099 -0.0194 -0.0131 -2.3598 4.6817 0.0149 0.4748 0.9121 2.6229" Properties=species:S:1:pos:R:3 comment="RhW2Cl | Alexandria | PBE | optimized geometry" formation_energy_uncorrected_mev_per_atom=839.5 spacegroup="No. 12" de_polymorph_ev_per_atom=0.658 pbc="T T T"
Cl 1.3751 2.3311 0.0009
Rh 2.7924 0.4463 1.3049
W -0.9425 2.7969 1.3189
W 0.0000 0.0000 0.0000

---

Entry 2:
8
Lattice="-1.6323 1.8686 -3.1389 -6.4495 -1.0073 2.7542 2.5814 6.1721 2.3318" Properties=species:S:1:pos:R:3 comment="Sm4PtS3 | Alexandria | PBE | optimized geometry" formation_energy_uncorrected_mev_per_atom=-1777.0 spacegroup="No. 65" de_polymorph_ev_per_atom=0.000 pbc="T T T"
Sm -0.5165 5.2924 0.8691
Sm -4.9838 1.7410 1.0780
Sm -0.9657 1.2895 1.2698
Sm -2.9023 3.8753 3.8163
S 1.2907 3.0861 1.1659
S -2.7502 3.5167 0.9736
S -3.2247 -0.5037 1.3771
Pt -0.8162 0.9343 -1.5695

---

Entry 3:
10
Lattice="-5.7921 4.6937 3.4512 -1.4183 -5.8562 5.5843 2.2892 1.3536 2.0010" Properties=species:S:1:pos:R:3 comment="Mg2TiTl2 | Alexandria | PBE | optimized geometry" e_form_kj_per_mol_atoms=25.9 spacegroup="No. 127" de_polymorph_ev_per_atom=0.054 pbc="T T T"
Ti 0.0000 0.0000 0.0000
Ti -3.6052 -0.5812 4.5177
Mg -5.9453 0.4246 6.5145
Mg -3.3978 -3.3616 6.1613
Mg -3.8126 2.1991 2.8742
Mg -1.2651 -1.5870 2.5210
Tl -0.9876 1.1813 3.0986
Tl -4.0975 2.6454 5.6659
Tl -3.9336 -0.9901 7.9378
Tl -0.8237 -2.4543 5.3705

---

Entry 4:
5
Lattice="4.8291 0.0000 0.0000 0.0000 4.8291 0.0000 2.4146 2.4146 6.5649" Properties=species:S:1:pos:R:3 comment="CsGe2Au2 | Alexandria | PBE | optimized geometry" e_form_kj_per_mol_atoms=-12.6 spacegroup="No. 139" de_polymorph_ev_per_atom=0.013 pbc="T T T"
Ge 4.8291 2.4146 3.2824
Ge 2.4146 4.8291 3.2824
Au 2.4146 2.4146 2.2837
Au 4.8291 4.8291 4.2812
Cs 0.0000 0.0000 0.0000

---

Entry 5:
11
Lattice="6.9867 -0.0029 -0.9489 0.0029 7.1544 0.0034 -1.3824 -0.0022 6.9140" Properties=species:S:1:pos:R:3 comment="Pm7Ni2Pb2 | Alexandria | PBE | optimized geometry" e_form_kj_per_mol_atoms=-20.5 spacegroup="No. 65" pbc="T T T"
Pm -0.6870 5.4048 3.4570
Pm 2.8009 1.6111 2.9851
Pm 2.8063 5.5382 2.9834
Pm 6.2943 1.7445 2.5114
Pm 3.4914 1.7470 -0.4718
Pm 0.0000 0.0000 0.0000
Pm 2.1158 5.4023 6.4403
Ni 1.0240 -0.0023 4.6531
Ni 4.5832 7.1516 1.3153
Pb 4.5733 3.5730 4.8678
Pb 1.0339 3.5763 1.1006

---

Entry 6:
7
Lattice="-4.7549 -0.7987 0.3917 0.6214 -4.5063 -1.6454 -1.2581 -4.6431 5.1300" Properties=species:S:1:pos:R:3 comment="VGe2S4 | Alexandria | PBE | optimized geometry" formation_energy_uncorrected_mev_per_atom=-108.2 spacegroup="No. 139" de_polymorph_ev_per_atom=0.050 pbc="T T T"
S -2.3774 -0.3994 0.1958
S 0.3107 -2.2531 -0.8227
S -1.5636 -3.8909 2.9547
S -3.8279 -6.0572 0.9216
Ge -3.5264 -6.7993 3.0679
Ge -1.8651 -3.1488 0.8083
V 0.0000 0.0000 0.0000

---

Entry 7:
5
Lattice="-3.1037 -4.2293 1.2358 4.0022 -2.8656 0.2447 0.5086 1.1576 5.2391" Properties=species:S:1:pos:R:3 comment="RbMnTe2Rh | Alexandria | PBE | optimized geometry" formation_energy_uncorrected_mev_per_atom=198.6 spacegroup="No. 123" pbc="T T T"
Mn 0.0000 0.0000 0.0000
Rb 0.7036 -2.9686 3.3598
Te 0.2543 0.5788 2.6196
Te -1.5518 -2.1147 0.6179
Rh 2.0011 -1.4328 0.1223

---

Entry 8:
20
Lattice="-7.2999 1.4773 3.2579 -3.6137 -0.6604 -7.7978 -1.7197 -11.3427 1.7576" Properties=species:S:1:pos:R:3 comment="Rb3TmBr6 | Alexandria | PBE | optimized geometry" formation_energy_uncorrected_mev_per_atom=-1835.1 spacegroup="No. 14" pbc="T T T"
Rb -2.7264 -3.2293 -3.9394
Rb -9.9069 -7.2965 1.1570
Rb -0.8598 -5.6714 0.8788
Rb -4.1305 -2.1323 1.3826
Rb -5.4568 0.4085 -2.2700
Rb -8.5028 -8.3935 -4.1649
Br -6.6551 -5.6499 1.3547
Br -6.6545 -2.5320 -1.0080
Br -5.9788 -7.9938 -1.7743
Br -7.5505 -9.7839 2.6601
Br -2.4048 -8.6753 1.3913
Br -2.2774 -0.7413 -1.4381
Br -10.3559 -9.7845 -1.3443
Br -3.5826 -4.9503 -1.0170
Br -5.9782 -4.8759 -4.1371
Br -9.0507 -5.5756 -1.7653
Br -5.0828 -0.7419 -5.4424
Br -10.2285 -1.8505 -4.1737
Tm -6.3166 -5.2629 -1.3912
Tm 0.0000 0.0000 0.0000

---

Entry 9:
6
Lattice="5.5643 0.0000 -0.0004 -2.7822 4.8192 -0.0022 0.0006 0.0033 7.2901" Properties=species:S:1:pos:R:3 comment="CaLaTl | Alexandria | PBE | optimized geometry" e_form_kj_per_mol_atoms=-31.3 spacegroup="No. 156" de_polymorph_ev_per_atom=0.074 pbc="T T T"
La 2.7827 0.1172 7.2336
La -0.0001 1.7210 2.0723
Ca 0.0007 1.7226 5.6593
Ca 2.7824 3.3286 3.9939
Tl 2.7824 0.1161 3.7423
Tl 2.7822 3.3269 0.3158

---

Entry 10:
6
Lattice="2.3428 0.6912 -4.5076 -4.9802 -1.2094 0.1418 -2.1185 8.7518 0.2409" Properties=species:S:1:pos:R:3 comment="NaMnNi | Alexandria | PBE | optimized geometry" e_form_kj_per_mol_atoms=136.4 spacegroup="No. 194" de_polymorph_ev_per_atom=1.180 pbc="T T T"
Ni 0.0000 0.0000 0.0000
Ni -1.0593 4.3759 0.1204
Mn -0.5296 2.1879 0.0602
Mn -1.5889 6.5638 0.1807
Na -3.0688 1.6120 -1.3478
Na -1.6871 6.6214 -2.7772

---

Entry 11:
4
Lattice="0.0000 3.2708 3.2708 3.2708 0.0000 3.2708 3.2708 3.2708 0.0000" Properties=species:S:1:pos:R:3 comment="RbMo2Ru | Alexandria | PBE | optimized geometry" e_form_kj_per_mol_atoms=163.4 spacegroup="No. 225" de_polymorph_ev_per_atom=0.000 pbc="T T T"
Mo 1.6354 1.6354 1.6354
Mo 4.9062 4.9062 4.9062
Ru 3.2708 3.2708 3.2708
Rb 0.0000 0.0000 0.0000

---

Entry 12:
5
Lattice="-0.3210 -4.3924 -2.7802 4.9734 -1.0700 1.1162 0.7205 -5.4764 3.6905" Properties=species:S:1:pos:R:3 comment="NaCa2As2 | Alexandria | PBE | optimized geometry" e_form_kj_per_mol_atoms=-59.9 spacegroup="No. 139" de_polymorph_ev_per_atom=0.239 pbc="T T T"
As 1.9356 -3.3989 0.2680
As 3.4372 -7.5399 1.7586
Ca 1.3628 -6.3000 0.0392
Ca 4.0100 -4.6388 1.9874
Na 0.0000 0.0000 0.0000

---

- What is the formula in the fifth record?
  Pm7Ni2Pb2